1.
# LiPm5Er4, relaxed, DFT GGA-PBE
# **DFT formation energy**: 0.038 eV per atom
# **Total energy**: -4.354 eV per atom
# **Magnetic moment**: 0.0 μB/cell
data_LiPm5Er4
_cell_length_a 3.600
_cell_length_b 3.600
_cell_length_c 24.252
_cell_angle_alpha 90.00
_cell_angle_beta 90.00
_cell_angle_gamma 90.00
_space_group_name_H-M_alt 'P 1'
_space_group_IT_number 1
_space_group_name_Hall 'P 1'
loop_
_atom_site_label
_atom_site_fract_x
_atom_site_fract_y
_atom_site_fract_z
_atom_site_occupancy
Pm1 0.500 0.500 0.500 1
Pm2 0.500 0.500 0.707 1
Pm3 0.500 0.500 0.912 1
Pm4 0.500 0.500 0.293 1
Pm5 0.500 0.500 0.088 1
Er1 0.000 0.000 0.810 1
Er2 0.000 0.000 0.603 1
Er3 0.000 0.000 0.397 1
Er4 0.000 0.000 0.190 1
Li1 0.000 0.000 0.000 1

2.
# Tb4Se4Br3, relaxed, DFT GGA-PBE
# **Energy relative to the elements, uncorrected**: -1.623 eV per atom
# **Total energy**: -5.030 eV per atom
# **Magnetic moment**: 0.0 μB/cell
data_Tb4Se4Br3
_cell_length_a 4.139
_cell_length_b 8.125
_cell_length_c 9.709
_cell_angle_alpha 114.74
_cell_angle_beta 102.31
_cell_angle_gamma 90.00
_space_group_name_H-M_alt 'P 1'
_space_group_IT_number 1
_space_group_name_Hall 'P 1'
loop_
_atom_site_label
_atom_site_fract_x
_atom_site_fract_y
_atom_site_fract_z
_atom_site_occupancy
Se1 0.665 0.454 0.331 1
Se2 0.665 0.876 0.331 1
Se3 0.335 0.124 0.669 1
Se4 0.335 0.546 0.669 1
Br1 0.088 0.088 0.177 1
Br2 0.000 0.500 0.000 1
Br3 0.912 0.912 0.823 1
Tb1 0.500 0.784 0.000 1
Tb2 0.500 0.216 0.000 1
Tb3 0.229 0.729 0.458 1
Tb4 0.771 0.271 0.542 1

3.
# CrGaAu6, relaxed, DFT GGA-PBE
# **DFT formation energy**: -0.011 eV per atom
# **Total energy**: -4.050 eV per atom
# **Magnetic moment**: 3.8 μB/cell
data_CrGaAu6
_cell_length_a 4.807
_cell_length_b 4.807
_cell_length_c 6.893
_cell_angle_alpha 107.80
_cell_angle_beta 107.80
_cell_angle_gamma 97.08
_space_group_name_H-M_alt 'P 1'
_space_group_IT_number 1
_space_group_name_Hall 'P 1'
loop_
_atom_site_label
_atom_site_fract_x
_atom_site_fract_y
_atom_site_fract_z
_atom_site_occupancy
Au1 0.382 0.882 0.764 1
Au2 0.882 0.382 0.764 1
Au3 0.618 0.118 0.236 1
Au4 0.254 0.254 0.508 1
Au5 0.118 0.618 0.236 1
Au6 0.746 0.746 0.492 1
Ga1 0.000 0.000 0.000 1
Cr1 0.500 0.500 0.000 1

4.
# LiCa2AlF, relaxed, DFT GGA-PBE
# **Energy relative to the elements, uncorrected**: -1.224 eV per atom
# **Total energy**: -3.530 eV per atom
# **Magnetic moment**: 0.0 μB/cell
data_LiCa2AlF
_cell_length_a 5.148
_cell_length_b 5.148
_cell_length_c 3.966
_cell_angle_alpha 90.00
_cell_angle_beta 90.00
_cell_angle_gamma 90.00
_space_group_name_H-M_alt 'P 1'
_space_group_IT_number 1
_space_group_name_Hall 'P 1'
loop_
_atom_site_label
_atom_site_fract_x
_atom_site_fract_y
_atom_site_fract_z
_atom_site_occupancy
Ca1 0.000 0.500 0.000 1
Ca2 0.500 0.000 0.000 1
Al1 0.500 0.500 0.500 1
F1 0.000 0.000 0.000 1
Li1 0.000 0.000 0.500 1

5.
# Ho7TmAl4, relaxed, DFT GGA-PBE
# **DFT formation energy**: -0.045 eV per atom
# **Total energy**: -4.336 eV per atom
# **Magnetic moment**: 0.0 μB/cell
data_Ho7TmAl4
_cell_length_a 5.461
_cell_length_b 9.000
_cell_length_c 7.422
_cell_angle_alpha 77.33
_cell_angle_beta 68.42
_cell_angle_gamma 72.34
_space_group_name_H-M_alt 'P 1'
_space_group_IT_number 1
_space_group_name_Hall 'P 1'
loop_
_atom_site_label
_atom_site_fract_x
_atom_site_fract_y
_atom_site_fract_z
_atom_site_occupancy
Ho1 0.295 0.649 0.761 1
Ho2 0.705 0.351 0.239 1
Ho3 0.934 0.389 0.742 1
Ho4 0.212 0.122 0.454 1
Ho5 0.066 0.611 0.258 1
Ho6 0.788 0.878 0.546 1
Ho7 0.500 0.000 0.000 1
Tm1 0.000 0.000 0.000 1
Al1 0.323 0.333 0.020 1
Al2 0.677 0.667 0.980 1
Al3 0.554 0.238 0.653 1
Al4 0.446 0.762 0.347 1

6.
# Na4LiHg, relaxed, DFT GGA-PBE
# **DFT formation energy**: -0.071 eV per atom
# **Total energy**: -1.319 eV per atom
# **Magnetic moment**: 0.0 μB/cell
data_Na4LiHg
_cell_length_a 7.582
_cell_length_b 7.582
_cell_length_c 8.320
_cell_angle_alpha 117.11
_cell_angle_beta 117.11
_cell_angle_gamma 90.00
_space_group_name_H-M_alt 'P 1'
_space_group_IT_number 1
_space_group_name_Hall 'P 1'
loop_
_atom_site_label
_atom_site_fract_x
_atom_site_fract_y
_atom_site_fract_z
_atom_site_occupancy
Na1 0.972 0.800 0.272 1
Na2 0.700 0.528 0.728 1
Na3 0.472 0.972 0.272 1
Na4 0.528 0.028 0.728 1
Na5 0.200 0.700 0.728 1
Na6 0.028 0.200 0.728 1
Na7 0.300 0.472 0.272 1
Na8 0.800 0.300 0.272 1
Hg1 0.250 0.250 0.500 1
Hg2 0.750 0.750 0.500 1
Li1 0.500 0.500 0.000 1
Li2 0.000 0.000 0.000 1

7.
# RbNaPd3, relaxed, DFT GGA-PBE
# **DFT formation energy**: 0.655 eV per atom
# **Total energy**: -2.918 eV per atom
# **Distance to the lowest polymorph of the same formula**: 0.00 kJ/mol of atoms
# **Magnetic moment**: 0.0 μB/cell
data_RbNaPd3
_cell_length_a 5.024
_cell_length_b 5.024
_cell_length_c 5.024
_cell_angle_alpha 90.00
_cell_angle_beta 90.00
_cell_angle_gamma 90.00
_space_group_name_H-M_alt 'P 1'
_space_group_IT_number 1
_space_group_name_Hall 'P 1'
loop_
_atom_site_label
_atom_site_fract_x
_atom_site_fract_y
_atom_site_fract_z
_atom_site_occupancy
Pd1 0.500 0.000 0.000 1
Pd2 0.000 0.500 0.000 1
Pd3 0.000 0.000 0.500 1
Na1 0.000 0.000 0.000 1
Rb1 0.500 0.500 0.500 1

8.
# ScP2Rh, relaxed, DFT GGA-PBE
# **DFT formation energy**: -0.921 eV per atom
# **Total energy**: -7.047 eV per atom
# **Distance to the lowest polymorph of the same formula**: 0.00 kJ/mol of atoms
# **Magnetic moment**: 0.0 μB/cell
data_ScP2Rh
_cell_length_a 5.662
_cell_length_b 5.662
_cell_length_c 5.662
_cell_angle_alpha 38.80
_cell_angle_beta 38.80
_cell_angle_gamma 38.80
_space_group_name_H-M_alt 'P 1'
_space_group_IT_number 1
_space_group_name_Hall 'P 1'
loop_
_atom_site_label
_atom_site_fract_x
_atom_site_fract_y
_atom_site_fract_z
_atom_site_occupancy
Rh1 0.250 0.250 0.250 1
P1 0.513 0.513 0.513 1
P2 0.987 0.987 0.987 1
Sc1 0.750 0.750 0.750 1